Below is a relaxed Ga2Pb2Br crystal, with properties calculated at the GGA-PBEsol level.

abc: 9.5741 9.5741 9.5741
angles: 157.57 157.57 31.93
Last column: nearest neighbours and their distance in Å.
Fractional coordinates of all 5 atoms:
Ga: 0.2500 0.7500 0.5000  4 Ga 2.63
Ga: 0.7500 0.2500 0.5000  4 Ga 2.63
Pb: 0.1151 0.1151 0.0000  4 Ga 3.10, 4 Br 3.38
Pb: 0.8849 0.8849 0.0000  4 Ga 3.10, 4 Br 3.38
Br: 0.5000 0.5000 0.0000  8 Pb 3.38, 4 Br 3.72

Results
Space group: No. 139
M_tot (μB per atom): 0.000
N(E_F) (states/eV/cell): 1.39
Raw formation energy (kJ/mol of formula units): -73
Crystal system: tetragonal

***

Below is a relaxed GaPb2Br crystal, with properties calculated at the GGA-PBEsol level.

abc: 5.2610 5.2610 5.2610
angles: 60.00 60.00 60.00
Last column: nearest neighbours and their distance in Å.
Fractional coordinates of all 4 atoms:
Ga: 0.0000 0.0000 0.0000  8 Pb 3.22
Pb: 0.2500 0.2500 0.2500  4 Br 3.22, 4 Ga 3.22
Pb: 0.7500 0.7500 0.7500  4 Br 3.22, 4 Ga 3.22
Br: 0.5000 0.5000 0.5000  8 Pb 3.22

Results
Space group: No. 225
M_tot (μB per atom): 0.000
N(E_F) (states/eV/cell): 2.32
Raw formation energy (kJ/mol of formula units): -9
Crystal system: cubic